Computed, not measured: Li5NiOF5 after structural relaxation at the PBE+U level of DFT. Values from VASP.

**Final energy**: -4.76 eV/atom
**Symmetry**: P1, No. 1

Structure (Quantum ESPRESSO input):
```
&SYSTEM
  ibrav = 0, nat = 48, ntyp = 4
/
ATOMIC_SPECIES
Li 6.94 Li.upf
Ni 58.69 Ni.upf
O 16.00 O.upf
F 19.00 F.upf
CELL_PARAMETERS angstrom
3.169 0.000 0.000
-0.078 5.539 0.000
-1.531 -2.776 30.149
ATOMIC_POSITIONS angstrom
Li 0.000 0.000 0.000
Li -0.043 1.834 2.466
Li -0.008 -0.011 4.915
Li -0.032 1.838 7.358
Li -0.026 1.846 12.716
Li 0.000 -0.003 15.168
Li -0.031 1.832 17.603
Li -0.001 -0.009 20.087
Li -0.013 1.822 22.523
Li 0.004 1.816 27.699
Li 1.530 2.766 0.032
Li 1.507 4.610 2.458
Li 1.537 2.760 4.912
Li 1.511 4.604 7.362
Li 1.595 -0.928 12.702
Li 1.547 2.772 15.177
Li 1.590 -0.925 17.624
Li 1.549 2.753 20.029
Li 1.588 -0.958 22.480
Li 1.570 -0.915 27.706
Ni 0.016 0.007 10.176
Ni -0.054 0.010 25.204
Ni 1.568 2.765 10.184
Ni 1.654 2.791 25.230
O -0.017 1.835 10.719
O 0.051 1.810 25.716
O 1.601 -0.942 10.702
O 1.515 -0.907 25.723
F -0.052 1.832 0.574
F -0.002 -0.004 3.022
F -0.045 1.829 5.464
F 0.003 0.000 7.909
F 0.008 0.002 13.275
F -0.036 1.835 15.717
F 0.003 0.005 18.185
F -0.033 1.850 20.627
F 0.002 -0.028 22.924
F -0.013 -0.005 28.297
F 1.507 4.613 0.563
F 1.540 2.769 3.016
F 1.500 4.598 5.469
F 1.552 2.769 7.901
F 1.555 2.776 13.284
F 1.586 -0.927 15.730
F 1.552 2.763 18.148
F 1.585 -0.966 20.592
F 1.572 2.754 23.132
F 1.582 2.768 28.244
```